Below is a relaxed Pr2MgH crystal, with properties calculated at the PBE-GGA level.

Unit cell a=3.6500 b=3.6500 c=26.0127 alpha=90.00 beta=90.00 gamma=120.00
Space group R3m (No. 160, hexagonal axes)
Inequivalent atoms, fractional coordinates:
Pr 0.0000 0.0000 0.0000 [3 per cell]
Pr 0.0000 0.0000 0.2200 [3 per cell]
Mg 0.0000 0.0000 0.7773 [3 per cell]
H 0.0000 0.0000 0.6112 [3 per cell]

Computed properties:
ΔE to the lowest computed polymorph ... 7 meV per atom
Calculated total energy ... -45.06 eV/cell
ρ ... 5.10 Mg/m³